RbZnCl3 | Alexandria | PBE | optimized geometry; symmetry = Pnma (62); raw formation energy = -1.497 eV/atom
1.0
6.196 0.000 0.000
0.000 14.599 0.000
0.000 0.000 6.790
Cl Zn Rb
12 4 4
direct
0.506 0.113 0.458
0.982 0.250 0.589
0.494 0.887 0.542
0.518 0.750 0.089
0.018 0.750 0.411
0.494 0.613 0.542
0.006 0.113 0.042
0.994 0.613 0.958
0.006 0.387 0.042
0.994 0.887 0.958
0.506 0.387 0.458
0.482 0.250 0.911
0.400 0.750 0.420
0.900 0.750 0.080
0.100 0.250 0.920
0.600 0.250 0.580
0.500 0.500 0.000
0.500 0.000 0.000
0.000 0.500 0.500
0.000 0.000 0.500

***

CaAs2Ir | Alexandria | PBE | optimized geometry; symmetry = P2/m (10); E_form = -557 meV/atom
1.0
4.079 0.000 0.000
0.000 4.570 0.020
0.000 0.817 4.688
As Ir Ca
2 1 1
direct
0.000 0.614 0.510
0.000 0.886 0.990
0.500 0.750 0.750
0.500 0.250 0.250